No. 1
VASP calculation (PBE) on crystalline BaSmCuTe2S at its relaxed geometry.

The space group is Cmcm (No. 63) and the conventional cell measures 4.296, 14.932 and 10.784 Å, with angles of 90.00, 90.00 and 90.00 degrees. The inequivalent atoms are Ba at (0.000, 0.220, 0.250), Sm at (0.000, 0.500, 0.000), Cu at (0.000, 0.024, 0.750), Te at (0.000, 0.143, 0.566) and S at (0.000, 0.442, 0.750).

As for the magnetization: 0.0 μB/f.u. For the uncorrected energy, the calculation gives -116.382 eV for the cell shown.

No. 2
VASP calculation (PBE) on crystalline BaCu2SnS4 at its relaxed geometry.

The space group is P3_121 (No. 152) and the conventional cell measures 6.4147, 6.4147 and 15.8477 Å, with angles of 90.00, 90.00 and 120.00 degrees. The inequivalent atoms are Ba at (0.0000, 0.5700, 0.1667), Cu at (0.0695, 0.6359, 0.4111), Sn at (0.0000, 0.7073, 0.6667), S at (0.0570, 0.5018, 0.7871) and S at (0.1161, 0.3489, 0.3315).

For the uncorrected energy, the calculation gives -109.030 eV for the cell shown.

No. 3
VASP calculation (PBE) on crystalline BaTbCuTe2S at its relaxed geometry.

The space group is Cmcm (No. 63) and the conventional cell measures 4.265, 14.912 and 10.679 Å, with angles of 90.00, 90.00 and 90.00 degrees. The inequivalent atoms are Ba at (0.000, 0.221, 0.250), Tb at (0.000, 0.500, 0.000), Cu at (0.000, 0.024, 0.750), Te at (0.000, 0.141, 0.563) and S at (0.000, 0.443, 0.750).

As for the magnetization: 0.0 μB/f.u. For the uncorrected energy, the calculation gives -116.054 eV for the cell shown.

No. 4
VASP calculation (PBE) on crystalline Ba2CuTcS6 at its relaxed geometry.

The space group is Fm-3m (No. 225) and the conventional cell measures 9.571, 9.571 and 9.571 Å, with angles of 90.00, 90.00 and 90.00 degrees. The inequivalent atoms are Ba at (0.250, 0.250, 0.250), Cu at (0.000, 0.000, 0.000), Tc at (0.000, 0.000, 0.500) and S at (0.000, 0.000, 0.250).

As for the magnetization: 1.5 μB/f.u. For the uncorrected energy, the calculation gives -202.458 eV for the cell shown.

No. 5
VASP calculation (PBE) on crystalline BaYCuTe2S at its relaxed geometry.

The space group is Cmcm (No. 63) and the conventional cell measures 4.261, 14.903 and 10.663 Å, with angles of 90.00, 90.00 and 90.00 degrees. The inequivalent atoms are Ba at (0.000, 0.221, 0.250), Y at (0.000, 0.500, 0.000), Cu at (0.000, 0.023, 0.750), Te at (0.000, 0.141, 0.563) and S at (0.000, 0.442, 0.750).

As for the magnetization: 0.0 μB/f.u. For the uncorrected energy, the calculation gives -123.437 eV for the cell shown.

No. 6
VASP calculation (PBE) on crystalline BaYCuTeS2 at its relaxed geometry.

The space group is Cmcm (No. 63) and the conventional cell measures 4.095, 14.705 and 10.978 Å, with angles of 90.00, 90.00 and 90.00 degrees. The inequivalent atoms are Ba at (0.000, 0.218, 0.250), Y at (0.000, 0.000, 0.000), Cu at (0.000, 0.478, 0.750), Te at (0.000, 0.092, 0.750) and S at (0.000, 0.386, 0.576).

As for the magnetization: 0.0 μB/f.u. For the uncorrected energy, the calculation gives -130.333 eV for the cell shown.

No. 7
VASP calculation (PBE) on crystalline BaTmCuS3 at its relaxed geometry.

The space group is P2_1/m (No. 11) and the conventional cell measures 8.444, 3.982 and 8.898 Å, with angles of 90.00, 106.56 and 90.00 degrees. The inequivalent atoms are Ba at (0.200, 0.250, 0.247), Tm at (0.325, 0.750, 0.840), Cu at (0.084, 0.250, 0.593), S at (0.114, 0.250, 0.863), S at (0.211, 0.750, 0.527) and S at (0.454, 0.750, 0.159).

As for the magnetization: 0.0 μB/f.u. For the uncorrected energy, the calculation gives -65.186 eV for the cell shown.

No. 8
VASP calculation (PBE) on crystalline Ba2CuWS6 at its relaxed geometry.

The space group is Fm-3m (No. 225) and the conventional cell measures 9.647, 9.647 and 9.647 Å, with angles of 90.00, 90.00 and 90.00 degrees. The inequivalent atoms are Ba at (0.250, 0.250, 0.250), Cu at (0.000, 0.000, 0.000), W at (0.000, 0.000, 0.500) and S at (0.000, 0.000, 0.252).

As for the magnetization: 0.0 μB/f.u. For the uncorrected energy, the calculation gives -218.194 eV for the cell shown.